Computed, not measured: an optimized crystal structure of Ni2TeMoO6 at the GGA+U level of DFT.

```
Ni2TeMoO6
1.0
4.664 0.000 0.000
0.000 5.817 0.000
0.000 0.000 5.817
Ni Te Mo O
2 1 1 6
direct
0.837 0.500 0.000
0.837 0.000 0.500
0.659 0.000 0.000
0.610 0.500 0.500
0.749 0.266 0.266
0.749 0.266 0.734
0.241 0.500 0.500
0.268 0.000 0.000
0.749 0.734 0.734
0.749 0.734 0.266
```

Results
calculated volume = 158 Å³ per cell
final energy = -5.38 eV per atom